Computed, not measured: crystalline Zn2Te at its relaxed geometry at the PBE level of DFT.

Computed properties:
Its space group is C2/m (12). The value obtained for the formation energy from raw total energies is -6.6 kJ/mol of atoms. The energy above the lowest structure with this stoichiometry is 0.156 eV per formula unit. The value obtained for the total DFT energy (no corrections) is -1.965 eV per atom.

Unit cell a=4.241 b=4.241 c=5.837 alpha=68.93 beta=68.92 gamma=60.10
Atoms (fractional coordinates):
Zn1 0.077 0.577 0.273
Zn2 0.923 0.423 0.727
Te1 0.500 0.000 0.000